No. 1
DFT (PBE-GGA) results for crystalline TeMoAu at its relaxed geometry.

```
TeMoAu
1.0
-1.577 1.577 6.648
1.577 -1.577 6.648
1.577 1.577 -6.648
Te Mo Au
1 1 1
Direct
0.000 0.000 0.000
0.625 0.625 0.000
0.261 0.261 0.000
```

Results
- DFT total energy (eV/cell) = -16.213
- formation energy from raw total energies (meV per atom) = 346
- symmetry = No. 107
- M_tot (μB/atom) = 0.00

=====

No. 2
DFT (PBE-GGA) results for crystalline TeMo2Au at its relaxed geometry.

```
TeMo2Au
1.0
4.729 -1.688 0.000
4.729 1.688 0.000
-1.742 0.000 4.956
Te Mo Au
1 2 1
Direct
0.000 0.000 0.000
0.255 0.255 0.679
0.745 0.745 0.321
0.500 0.500 0.500
```

Results
- DFT total energy (eV/cell) = -26.261
- formation energy from raw total energies (meV per atom) = 455
- symmetry = No. 12
- M_tot (μB/atom) = 0.00

=====

No. 3
DFT (PBE-GGA) results for crystalline TeMoAu2 at its relaxed geometry.

```
TeMoAu2
1.0
3.242 0.000 0.000
0.000 4.558 0.000
0.000 0.000 5.174
Te Mo Au
1 1 2
Direct
0.000 0.000 0.000
0.500 0.500 0.000
0.000 0.500 0.500
0.500 0.000 0.500
```

Results
- DFT total energy (eV/cell) = -18.704
- formation energy from raw total energies (meV per atom) = 456
- symmetry = No. 47
- M_tot (μB/atom) = 0.00

=====

No. 4
DFT (PBE-GGA) results for crystalline TeMoAu4 at its relaxed geometry.

```
TeMoAu4
1.0
0.000 3.948 3.948
3.948 0.000 3.948
3.948 3.948 0.000
Te Mo Au
1 1 4
Direct
0.000 0.000 0.000
0.250 0.250 0.250
0.126 0.625 0.625
0.625 0.126 0.625
0.625 0.625 0.126
0.625 0.625 0.625
```

Results
- DFT total energy (eV/cell) = -24.378
- formation energy from raw total energies (meV per atom) = 451
- symmetry = No. 216
- M_tot (μB/atom) = 0.67

=====

No. 5
DFT (PBE-GGA) results for crystalline TeMo2Au at its relaxed geometry.

```
TeMo2Au
1.0
4.789 -1.627 0.000
4.789 1.627 0.000
-1.107 0.000 4.859
Te Mo Au
1 2 1
Direct
0.000 0.000 0.000
0.468 0.468 0.464
0.769 0.769 0.266
0.222 0.222 0.702
```

Results
- DFT total energy (eV/cell) = -26.420
- formation energy from raw total energies (meV per atom) = 415
- symmetry = No. 8
- M_tot (μB/atom) = 0.00

=====

No. 6
DFT (PBE-GGA) results for crystalline TeMo4Au at its relaxed geometry.

```
TeMo4Au
1.0
0.000 3.779 3.779
3.779 0.000 3.779
3.779 3.779 0.000
Te Mo Au
1 4 1
Direct
0.000 0.000 0.000
0.378 0.378 0.378
0.378 0.378 0.866
0.378 0.866 0.378
0.866 0.378 0.378
0.750 0.750 0.750
```

Results
- DFT total energy (eV/cell) = -46.234
- formation energy from raw total energies (meV per atom) = 585
- symmetry = No. 216
- M_tot (μB/atom) = 0.00

=====

No. 7
DFT (PBE-GGA) results for crystalline TeMo2Au at its relaxed geometry.

```
TeMo2Au
1.0
3.239 0.000 0.000
0.000 3.239 0.000
0.000 0.000 6.708
Te Mo Au
1 2 1
Direct
0.000 0.000 0.000
0.500 0.500 0.244
0.500 0.500 0.756
0.000 0.000 0.500
```

Results
- DFT total energy (eV/cell) = -26.414
- formation energy from raw total energies (meV per atom) = 417
- symmetry = No. 123
- M_tot (μB/atom) = 0.00

=====

No. 8
DFT (PBE-GGA) results for crystalline ZnTeMo2Au at its relaxed geometry.

```
ZnTeMo2Au
1.0
4.993 0.000 0.000
0.000 4.993 0.000
0.000 0.000 4.908
Zn Te Mo Au
1 1 2 1
Direct
0.000 0.000 0.000
0.000 0.000 0.500
0.000 0.500 0.500
0.500 0.000 0.500
0.500 0.500 0.000
```

Results
- DFT total energy (eV/cell) = -21.117
- formation energy from raw total energies (meV per atom) = 1648
- symmetry = No. 123
- M_tot (μB/atom) = 0.65

=====

No. 9
DFT (PBE-GGA) results for crystalline ZrTe2MoAu at its relaxed geometry.

```
ZrTe2MoAu
1.0
5.164 0.000 0.000
0.000 5.164 0.000
0.000 0.000 5.204
Zr Te Mo Au
1 2 1 1
Direct
0.000 0.000 0.000
0.000 0.500 0.500
0.500 0.000 0.500
0.000 0.000 0.500
0.500 0.500 0.000
```

Results
- DFT total energy (eV/cell) = -26.001
- formation energy from raw total energies (meV per atom) = 588
- symmetry = No. 123
- M_tot (μB/atom) = 0.00

=====

No. 10
DFT (PBE-GGA) results for crystalline TiMoAu2 at its relaxed geometry.

```
TiMoAu2
1.0
0.000 3.253 3.253
3.253 0.000 3.253
3.253 3.253 0.000
Ti Mo Au
1 1 2
Direct
0.000 0.000 0.000
0.500 0.500 0.500
0.250 0.250 0.250
0.750 0.750 0.750
```

Results
- DFT total energy (eV/cell) = -24.645
- symmetry = No. 225
- M_tot (μB/atom) = 0.00

=====

No. 11
DFT (PBE-GGA) results for crystalline Ti2MoAu at its relaxed geometry.

```
Ti2MoAu
1.0
-1.388 2.482 5.130
1.388 -2.482 5.130
1.388 2.482 -5.130
Ti Mo Au
2 1 1
Direct
0.246 0.246 0.000
0.754 0.754 0.000
0.000 0.000 0.000
0.500 0.500 0.000
```

Results
- DFT total energy (eV/cell) = -28.381
- symmetry = No. 71
- M_tot (μB/atom) = 0.00

=====

No. 12
DFT (PBE-GGA) results for crystalline Ti5MoAu2 at its relaxed geometry.

```
Ti5MoAu2
1.0
-2.293 2.293 6.343
2.293 -2.293 6.343
2.293 2.293 -6.343
Ti Mo Au
5 1 2
Direct
0.000 0.000 0.000
0.117 0.617 0.500
0.383 0.883 0.500
0.617 0.117 0.500
0.883 0.383 0.500
0.500 0.500 0.000
0.248 0.248 0.000
0.752 0.752 0.000
```

Results
- DFT total energy (eV/cell) = -59.146
- symmetry = No. 139
- M_tot (μB/atom) = 0.00

=====

No. 13
DFT (PBE-GGA) results for crystalline Ti2MoAu at its relaxed geometry.

```
Ti2MoAu
1.0
3.248 0.000 0.000
0.000 3.248 0.000
0.000 0.000 6.246
Ti Mo Au
2 1 1
Direct
0.000 0.000 0.231
0.000 0.000 0.769
0.500 0.500 0.000
0.500 0.500 0.500
```

Results
- DFT total energy (eV/cell) = -31.292
- symmetry = No. 123
- M_tot (μB/atom) = 0.00

=====

No. 14
DFT (PBE-GGA) results for crystalline TiMo2Au2 at its relaxed geometry.

```
TiMo2Au2
1.0
-1.917 1.917 6.370
1.917 -1.917 6.370
1.917 1.917 -6.370
Ti Mo Au
1 2 2
Direct
0.000 0.000 0.000
0.412 0.412 0.000
0.588 0.588 0.000
0.250 0.750 0.500
0.750 0.250 0.500
```

Results
- DFT total energy (eV/cell) = -34.055
- symmetry = No. 139
- M_tot (μB/atom) = 0.00

=====

No. 15
DFT (PBE-GGA) results for crystalline TiMo2Au2 at its relaxed geometry.

```
TiMo2Au2
1.0
7.960 0.000 0.000
0.000 7.960 0.000
0.000 0.000 2.818
Ti Mo Au
2 4 4
Direct
0.000 0.000 0.000
0.500 0.500 0.000
0.110 0.390 0.000
0.390 0.890 0.000
0.610 0.110 0.000
0.890 0.610 0.000
0.184 0.684 0.500
0.316 0.184 0.500
0.684 0.816 0.500
0.816 0.316 0.500
```

Results
- DFT total energy (eV/cell) = -68.472
- symmetry = No. 127
- M_tot (μB/atom) = 0.00

=====

No. 16
DFT (PBE-GGA) results for crystalline TiMoAu2 at its relaxed geometry.

```
TiMoAu2
1.0
-3.703 3.703 2.656
3.703 -3.703 2.656
3.703 3.703 -2.656
Ti Mo Au
2 2 4
Direct
0.000 0.000 0.000
0.750 0.250 0.500
0.250 0.750 0.500
0.500 0.500 0.000
0.121 0.625 0.996
0.375 0.371 0.496
0.629 0.125 0.004
0.875 0.879 0.504
```

Results
- DFT total energy (eV/cell) = -47.630
- symmetry = No. 122
- M_tot (μB/atom) = 0.00

=====

No. 17
DFT (PBE-GGA) results for crystalline TiMoAu at its relaxed geometry.

```
TiMoAu
1.0
3.758 0.000 0.000
0.000 3.758 0.000
0.000 0.000 7.394
Ti Mo Au
2 2 2
Direct
0.250 0.250 0.146
0.750 0.750 0.854
0.250 0.750 0.500
0.750 0.250 0.500
0.250 0.250 0.789
0.750 0.750 0.211
```

Results
- DFT total energy (eV/cell) = -44.167
- symmetry = No. 129
- M_tot (μB/atom) = 0.00

=====

No. 18
DFT (PBE-GGA) results for crystalline Ti7MoAu2 at its relaxed geometry.

```
Ti7MoAu2
1.0
0.000 4.627 4.627
4.627 0.000 4.627
4.627 4.627 0.000
Ti Mo Au
7 1 2
Direct
0.000 0.000 0.000
0.247 0.247 0.753
0.247 0.753 0.247
0.247 0.753 0.753
0.753 0.247 0.247
0.753 0.247 0.753
0.753 0.753 0.247
0.500 0.500 0.500
0.250 0.250 0.250
0.750 0.750 0.750
```

Results
- DFT total energy (eV/cell) = -65.187
- symmetry = No. 225
- M_tot (μB/atom) = 0.34

=====

No. 19
DFT (PBE-GGA) results for crystalline Ti3Mo2Au at its relaxed geometry.

```
Ti3Mo2Au
1.0
3.217 0.000 0.000
0.000 3.217 0.000
0.000 0.000 9.459
Ti Mo Au
3 2 1
Direct
0.000 0.000 0.000
0.000 0.000 0.316
0.000 0.000 0.684
0.500 0.500 0.168
0.500 0.500 0.832
0.500 0.500 0.500
```

Results
- DFT total energy (eV/cell) = -50.160
- symmetry = No. 123
- M_tot (μB/atom) = 0.00

=====

No. 20
DFT (PBE-GGA) results for crystalline TiMoAu3 at its relaxed geometry.

```
TiMoAu3
1.0
4.929 0.000 0.000
0.000 4.929 0.000
0.000 0.000 4.929
Ti Mo Au
1 1 3
Direct
0.000 0.000 0.000
0.500 0.500 0.500
0.000 0.000 0.500
0.000 0.500 0.000
0.500 0.000 0.000
```

Results
- DFT total energy (eV/cell) = -22.773
- symmetry = No. 221
- M_tot (μB/atom) = 1.03

=====

No. 21
DFT (PBE-GGA) results for crystalline Ti4MoAu at its relaxed geometry.

```
Ti4MoAu
1.0
2.218 1.280 6.912
-2.218 1.280 6.912
0.000 -2.561 6.912
Ti Mo Au
4 1 1
Direct
0.121 0.121 0.121
0.370 0.370 0.370
0.630 0.630 0.630
0.879 0.879 0.879
0.000 0.000 0.000
0.500 0.500 0.500
```

Results
- DFT total energy (eV/cell) = -44.251
- symmetry = No. 166
- M_tot (μB/atom) = 0.00

=====

No. 22
DFT (PBE-GGA) results for crystalline Ti4MoAu3 at its relaxed geometry.

```
Ti4MoAu3
1.0
3.198 0.000 0.000
0.000 3.198 0.000
0.000 0.000 13.320
Ti Mo Au
4 1 3
Direct
0.000 0.000 0.110
0.000 0.000 0.370
0.000 0.000 0.630
0.000 0.000 0.890
0.500 0.500 0.000
0.500 0.500 0.240
0.500 0.500 0.500
0.500 0.500 0.760
```

Results
- DFT total energy (eV/cell) = -54.846
- symmetry = No. 123
- M_tot (μB/atom) = 0.23

=====

No. 23
DFT (PBE-GGA) results for crystalline Ti2MoAu at its relaxed geometry.

```
Ti2MoAu
1.0
-1.997 1.997 9.053
1.997 -1.997 9.053
1.997 1.997 -9.053
Ti Mo Au
4 2 2
Direct
0.113 0.625 0.988
0.375 0.363 0.488
0.637 0.125 0.012
0.875 0.887 0.512
0.000 0.000 0.000
0.750 0.250 0.500
0.250 0.750 0.500
0.500 0.500 0.000
```

Results
- DFT total energy (eV/cell) = -56.568
- symmetry = No. 122
- M_tot (μB/atom) = 0.00

=====

No. 24
DFT (PBE-GGA) results for crystalline ZrTi2MoAu at its relaxed geometry.

```
ZrTi2MoAu
1.0
4.766 0.000 0.000
0.000 4.766 0.000
0.000 0.000 4.733
Zr Ti Mo Au
1 2 1 1
Direct
0.000 0.000 0.000
0.000 0.500 0.000
0.500 0.000 0.000
0.000 0.000 0.500
0.500 0.500 0.500
```

Results
- DFT total energy (eV/cell) = -31.529
- symmetry = No. 123
- M_tot (μB/atom) = 0.00

=====

No. 25
DFT (PBE-GGA) results for crystalline ZrTi2MoAu at its relaxed geometry.

```
ZrTi2MoAu
1.0
4.778 0.000 0.000
0.000 4.778 0.000
0.000 0.000 5.186
Zr Ti Mo Au
1 2 1 1
Direct
0.000 0.000 0.000
0.000 0.500 0.500
0.500 0.000 0.500
0.500 0.500 0.000
0.000 0.000 0.500
```

Results
- DFT total energy (eV/cell) = -32.566
- symmetry = No. 123
- M_tot (μB/atom) = 0.20

=====

No. 26
DFT (PBE-GGA) results for crystalline TlMoAu2 at its relaxed geometry.

```
TlMoAu2
1.0
-1.454 2.501 5.537
1.454 -2.501 5.537
1.454 2.501 -5.537
Tl Mo Au
1 1 2
Direct
0.000 0.000 0.000
0.500 0.500 0.000
0.283 0.783 0.500
0.717 0.217 0.500
```

Results
- DFT total energy (eV/cell) = -18.014
- symmetry = No. 71
- M_tot (μB/atom) = 0.17

=====

No. 27
DFT (PBE-GGA) results for crystalline TlMoAu2 at its relaxed geometry.

```
TlMoAu2
1.0
4.147 0.000 0.000
0.000 4.147 0.000
0.000 0.000 4.369
Tl Mo Au
1 1 2
Direct
0.000 0.000 0.000
0.500 0.500 0.000
0.000 0.500 0.500
0.500 0.000 0.500
```

Results
- DFT total energy (eV/cell) = -17.969
- symmetry = No. 123
- M_tot (μB/atom) = 0.00

=====

No. 28
DFT (PBE-GGA) results for crystalline TlMoAu3 at its relaxed geometry.

```
TlMoAu3
1.0
5.137 0.000 0.000
0.000 5.137 0.000
0.000 0.000 5.137
Tl Mo Au
1 1 3
Direct
0.000 0.000 0.000
0.500 0.500 0.500
0.000 0.500 0.500
0.500 0.000 0.500
0.500 0.500 0.000
```

Results
- DFT total energy (eV/cell) = -18.956
- symmetry = No. 221
- M_tot (μB/atom) = 0.00